First-principles (PBE-GGA) data for a geometry-optimized NaPmCuPt structure, as listed in the Alexandria database.

The density of states at the Fermi level comes out at 0.66 states/eV per atom. For the volume, the calculation gives 21.0 Å³ per atom. As for the energy relative to the elements: -0.330 eV/atom.

The space group is F-43m (No. 216) and the conventional cell measures 6.9536, 6.9536 and 6.9536 Å, with angles of 90.00, 90.00 and 90.00 degrees. The distinct sites, in fractional coordinates, are Na at (0.0000, 0.0000, 0.0000), Pm at (0.0000, 0.0000, 0.5000), Cu at (0.2500, 0.2500, 0.2500) and Pt at (0.2500, 0.2500, 0.7500).

First-principles (PBE-GGA) data for a geometry-optimized Pr2Zn4Ga3Pt structure, as listed in the Alexandria database.

The density of states at the Fermi level comes out at 0.32 states/eV per atom. For the volume, the calculation gives 19.4 Å³ per atom. As for the energy relative to the elements: -0.532 eV/atom.

The space group is P-4m2 (No. 115) and the conventional cell measures 4.2536, 4.2536 and 10.7080 Å, with angles of 90.00, 90.00 and 90.00 degrees. The distinct sites, in fractional coordinates, are Pr at (0.0000, 0.5000, 0.2466), Zn at (0.0000, 0.0000, 0.5000), Zn at (0.0000, 0.5000, 0.8646), Zn at (0.5000, 0.5000, 0.5000), Ga at (0.0000, 0.0000, 0.0000), Ga at (0.0000, 0.5000, 0.6351) and Pt at (0.5000, 0.5000, 0.0000).

First-principles (PBE-GGA) data for a geometry-optimized TlGa2Hg structure, as listed in the Alexandria database.

The density of states at the Fermi level comes out at 0.57 states/eV per atom. For the volume, the calculation gives 25.2 Å³ per atom. For the relative energy among the computed polymorphs, the calculation gives 124.8 meV per atom. As for the energy relative to the elements: 0.139 eV/atom.

The space group is I-42d (No. 122) and the conventional cell measures 4.2971, 4.2971 and 21.7996 Å, with angles of 90.00, 90.00 and 90.00 degrees. The distinct sites, in fractional coordinates, are Tl at (0.0000, 0.0000, 0.0000), Ga at (0.2352, 0.2500, 0.6250) and Hg at (0.0000, 0.0000, 0.5000).

Q: energy relative to the elements of number 1 (NaPmCuPt)?
A: -0.330 eV/atom

Repeat the third record exactly.
First-principles (PBE-GGA) data for a geometry-optimized TlGa2Hg structure, as listed in the Alexandria database.

The density of states at the Fermi level comes out at 0.57 states/eV per atom. For the volume, the calculation gives 25.2 Å³ per atom. For the relative energy among the computed polymorphs, the calculation gives 124.8 meV per atom. As for the energy relative to the elements: 0.139 eV/atom.

The space group is I-42d (No. 122) and the conventional cell measures 4.2971, 4.2971 and 21.7996 Å, with angles of 90.00, 90.00 and 90.00 degrees. The distinct sites, in fractional coordinates, are Tl at (0.0000, 0.0000, 0.0000), Ga at (0.2352, 0.2500, 0.6250) and Hg at (0.0000, 0.0000, 0.5000).

Q: What is the energy relative to the elements in the third record?
A: 0.139 eV/atom